Record 1
A plane-wave DFT calculation with PBE-GGA was carried out for a relaxed structure of Ac2NdAl4Au3.

Computed properties:
crystal system	tetragonal
E_tot	-4.36	eV/atom
SG	P-4m2
DOS at the Fermi energy	7.27	states/eV/f.u.
energy relative to the elements	-581	meV/atom

```
Ac2NdAl4Au3
1.0
4.531 0.000 0.000
0.000 4.531 0.000
0.000 0.000 11.842
Ac Nd Al Au
2 1 4 3
Cartesian
0.000 2.266 2.746 Ac
2.266 0.000 9.096 Ac
0.000 0.000 5.921 Nd
0.000 0.000 0.000 Al
0.000 2.266 7.915 Al
2.266 0.000 3.928 Al
2.266 2.266 0.000 Al
0.000 2.266 10.480 Au
2.266 0.000 1.363 Au
2.266 2.266 5.921 Au
```

Record 2
A plane-wave DFT calculation with PBE-GGA was carried out for a relaxed structure of Ac2Al4NiAu3.

Computed properties:
crystal system	tetragonal
E_tot	-4.54	eV/atom
SG	P-4m2
DOS at the Fermi energy	5.99	states/eV/f.u.
energy relative to the elements	-664	meV/atom

```
Ac2Al4NiAu3
1.0
4.499 0.000 0.000
0.000 4.499 0.000
0.000 0.000 10.583
Ac Al Ni Au
2 4 1 3
Cartesian
0.000 2.250 2.559 Ac
2.250 0.000 8.024 Ac
0.000 0.000 5.292 Al
0.000 2.250 9.360 Al
2.250 0.000 1.223 Al
2.250 2.250 5.292 Al
2.250 2.250 0.000 Ni
0.000 0.000 0.000 Au
0.000 2.250 6.704 Au
2.250 0.000 3.879 Au
```

Record 3
A plane-wave DFT calculation with PBE-GGA was carried out for a relaxed structure of Ac4Al3AuO12.

Computed properties:
crystal system	cubic
E_tot	-7.28	eV/atom
SG	Im-3m

```
Ac4Al3AuO12
1.0
-3.972 3.972 3.972
3.972 -3.972 3.972
3.972 3.972 -3.972
Ac Al Au O
4 3 1 12
Cartesian
1.986 1.986 -1.986 Ac
1.986 -1.986 1.986 Ac
-1.986 1.986 1.986 Ac
1.986 1.986 1.986 Ac
3.972 0.000 0.000 Al
0.000 3.972 0.000 Al
0.000 0.000 3.972 Al
0.000 0.000 0.000 Au
2.134 0.000 0.000 O
5.811 0.000 0.000 O
3.972 1.986 0.000 O
3.972 0.000 1.986 O
0.000 2.134 0.000 O
0.000 0.000 2.134 O
1.986 3.972 0.000 O
1.986 0.000 3.972 O
0.000 5.811 0.000 O
0.000 0.000 5.811 O
0.000 3.972 1.986 O
0.000 1.986 3.972 O
```

Record 4
A plane-wave DFT calculation with PBE-GGA was carried out for a relaxed structure of Ac3Al2AuO9.

Computed properties:
crystal system	trigonal
E_tot	-7.12	eV/atom
SG	P-3m1
DOS at the Fermi energy	3.65	states/eV/f.u.

```
Ac3Al2AuO9
1.0
5.630 0.000 0.000
-2.815 4.876 0.000
0.000 0.000 6.973
Ac Al Au O
3 2 1 9
Cartesian
0.000 0.000 0.000 Ac
0.000 3.250 4.615 Ac
2.815 1.625 2.358 Ac
0.000 3.250 1.036 Al
2.815 1.625 5.937 Al
0.000 0.000 3.486 Au
-1.407 2.438 0.000 O
0.000 1.742 2.218 O
-1.307 4.005 2.218 O
1.508 0.871 4.755 O
2.815 0.000 0.000 O
1.407 2.438 0.000 O
1.307 4.005 2.218 O
4.121 0.871 4.755 O
2.815 3.134 4.755 O
```

Record 5
A plane-wave DFT calculation with PBE-GGA was carried out for a relaxed structure of Ac2Al3PbAu4.

Computed properties:
crystal system	tetragonal
E_tot	-4.27	eV/atom
SG	P-4m2
DOS at the Fermi energy	6.76	states/eV/f.u.
energy relative to the elements	-640	meV/atom

```
Ac2Al3PbAu4
1.0
4.568 0.000 0.000
0.000 4.568 0.000
0.000 0.000 11.306
Ac Al Pb Au
2 3 1 4
Cartesian
0.000 2.284 2.681 Ac
2.284 0.000 8.625 Ac
0.000 2.284 10.000 Al
2.284 0.000 1.306 Al
2.284 2.284 5.653 Al
0.000 0.000 5.653 Pb
0.000 0.000 0.000 Au
0.000 2.284 7.452 Au
2.284 0.000 3.854 Au
2.284 2.284 0.000 Au
```

Record 6
A plane-wave DFT calculation with PBE-GGA was carried out for a relaxed structure of AcAl3PdAu.

Computed properties:
crystal system	orthorhombic
E_tot	-4.46	eV/atom
SG	Cmcm
DOS at the Fermi energy	2.31	states/eV/f.u.
energy relative to the elements	-490	meV/atom

```
AcAl3PdAu
1.0
3.357 -6.329 0.000
3.357 6.329 0.000
0.000 0.000 6.410
Ac Al Pd Au
2 6 2 2
Cartesian
3.357 3.235 4.808 Ac
3.357 -3.235 1.603 Ac
3.357 3.886 1.603 Al
1.937 0.000 0.000 Al
1.937 0.000 3.205 Al
4.778 0.000 0.000 Al
4.778 0.000 3.205 Al
3.357 -3.886 4.808 Al
3.357 6.202 1.603 Pd
3.357 -6.202 4.808 Pd
3.357 1.463 1.603 Au
3.357 -1.463 4.808 Au
```

Record 7
A plane-wave DFT calculation with PBE-GGA was carried out for a relaxed structure of Ac2Al3PdAu4.

Computed properties:
crystal system	tetragonal
E_tot	-4.47	eV/atom
SG	P-4m2
DOS at the Fermi energy	4.87	states/eV/f.u.
energy relative to the elements	-695	meV/atom

```
Ac2Al3PdAu4
1.0
4.522 0.000 0.000
0.000 4.522 0.000
0.000 0.000 10.885
Ac Al Pd Au
2 3 1 4
Cartesian
0.000 2.261 2.656 Ac
2.261 0.000 8.229 Ac
0.000 0.000 0.000 Al
0.000 2.261 6.750 Al
2.261 0.000 4.135 Al
2.261 2.261 0.000 Pd
0.000 0.000 5.442 Au
0.000 2.261 9.314 Au
2.261 0.000 1.571 Au
2.261 2.261 5.442 Au
```

Record 8
A plane-wave DFT calculation with PBE-GGA was carried out for a relaxed structure of Ac2Al3Pd12Au.

Computed properties:
crystal system	trigonal
E_tot	-5.05	eV/atom
SG	R-3m
DOS at the Fermi energy	7.45	states/eV/f.u.
energy relative to the elements	-327	meV/atom

```
Ac2Al3Pd12Au
1.0
4.224 2.438 6.120
-4.224 2.438 6.120
0.000 -4.877 6.120
Ac Al Pd Au
2 3 12 1
Cartesian
0.000 0.000 2.079 Ac
0.000 0.000 16.282 Ac
-2.112 -1.219 6.120 Al
-2.112 1.219 12.240 Al
0.000 2.438 6.120 Al
-2.213 -1.278 8.520 Pd
0.000 -2.275 5.398 Pd
-1.970 1.137 5.398 Pd
0.000 -2.555 9.840 Pd
-2.213 1.278 9.840 Pd
-1.970 -1.137 12.962 Pd
1.970 1.137 5.398 Pd
2.213 -1.278 8.520 Pd
0.000 2.555 8.520 Pd
1.970 -1.137 12.962 Pd
0.000 2.275 12.962 Pd
2.213 1.278 9.840 Pd
0.000 0.000 9.180 Au
```